NaNdGeAu | PBE-GGA | relaxed

Results
Size of the total moment (Bohr magnetons per cell): 0.0
Density of states at the Fermi level (states/eV/f.u.): 2.2
Uncorrected energy (eV per cell): -15.9
ΔH_f (0 K) (eV/atom): -0.49

Lattice parameters (Å, degrees): 5.0929 5.0929 5.0929 60.00 60.00 60.00
Positions (direct):
Na (0.0000, 0.0000, 0.0000)
Nd (0.5000, 0.5000, 0.5000)
Ge (0.7500, 0.7500, 0.7500)
Au (0.2500, 0.2500, 0.2500)

Pm2SmRh | PBE-GGA | relaxed

Results
Size of the total moment (Bohr magnetons per cell): 0.0
Density of states at the Fermi level (states/eV/f.u.): 4.6
Relative energy among the computed polymorphs (eV per formula unit): 0.000
Uncorrected energy (eV per cell): -93.4
ΔH_f (0 K) (eV/atom): -0.45

Lattice parameters (Å, degrees): 7.2969 9.8753 6.4210 90.00 90.00 90.00
Positions (direct):
Pm (0.1766, 0.0654, 0.1693)
Pm (0.1766, 0.4346, 0.1693)
Pm (0.3234, 0.5654, 0.6693)
Pm (0.3234, 0.9346, 0.6693)
Pm (0.6766, 0.0654, 0.3307)
Pm (0.6766, 0.4346, 0.3307)
Pm (0.8234, 0.5654, 0.8307)
Pm (0.8234, 0.9346, 0.8307)
Sm (0.0356, 0.2500, 0.6455)
Sm (0.4644, 0.7500, 0.1455)
Sm (0.5356, 0.2500, 0.8545)
Sm (0.9644, 0.7500, 0.3545)
Rh (0.1210, 0.7500, 0.9358)
Rh (0.3790, 0.2500, 0.4358)
Rh (0.6210, 0.7500, 0.5642)
Rh (0.8790, 0.2500, 0.0642)

TbDySb | PBE-GGA | relaxed

Results
Size of the total moment (Bohr magnetons per cell): 0.9
Density of states at the Fermi level (states/eV/f.u.): 2.7
Formation energy (no corrections) (eV/f.u.): -1.91
Uncorrected energy (eV per cell): -15.3

Lattice parameters (Å, degrees): 5.9565 5.9565 5.9565 140.84 140.84 56.58
Positions (direct):
Tb (0.0000, 0.0000, 0.0000)
Dy (0.6902, 0.6902, 0.0000)
Sb (0.3438, 0.3438, 0.0000)